# 1
# KSbPCl2

Crystalline KSbPCl2 at its relaxed geometry (PBE-GGA, the Alexandria database).

Calculated values
Distance to the lowest polymorph of the same formula = 926.2 meV per atom

Cell and atoms, written as POSCAR:
```
KSbPCl2
1.0
-3.302 -1.597 -4.065
-1.330 -4.486 2.843
-4.543 2.950 2.532
Cl K P Sb
2 1 1 1
direct
0.500 0.000 0.000
0.000 0.500 0.000
0.000 0.000 0.000
0.000 0.000 0.500
0.500 0.500 0.500
```



# 2
# Na14TlHg

Crystalline Na14TlHg at its relaxed geometry (PBE-GGA, the Alexandria database).

Calculated values
Energy relative to the elements = -0.052 eV/atom

Cell and atoms, written as POSCAR:
```
Na14TlHg
1.0
7.187 -0.016 0.000
0.015 7.187 0.000
0.000 0.000 10.342
Tl Na Hg
1 14 1
direct
0.875 0.875 0.500
0.375 0.875 0.000
0.127 0.127 0.726
0.875 0.375 0.000
0.127 0.623 0.274
0.623 0.623 0.274
0.375 0.375 0.000
0.623 0.623 0.726
0.875 0.875 0.000
0.127 0.127 0.274
0.875 0.375 0.500
0.375 0.875 0.500
0.127 0.623 0.726
0.623 0.127 0.726
0.623 0.127 0.274
0.375 0.375 0.500
```



# 3
# KHf4Te8

Crystalline KHf4Te8 at its relaxed geometry (PBE-GGA, the Alexandria database).

Calculated values
Energy = -5.98 eV per atom

Cell and atoms, written as POSCAR:
```
KHf4Te8
1.0
-6.376 1.058 -4.691
-7.213 -2.372 2.472
-5.916 7.637 2.965
Hf Te K
4 8 1
direct
0.000 0.500 0.000
0.500 0.000 0.000
0.000 0.000 0.000
0.500 0.500 0.000
0.268 0.268 0.196
0.769 0.769 0.196
0.231 0.734 0.804
0.732 0.732 0.804
0.769 0.266 0.196
0.734 0.231 0.804
0.266 0.769 0.196
0.231 0.231 0.804
0.500 0.500 0.500
```



# 4
# Na2Ca3Au3

Crystalline Na2Ca3Au3 at its relaxed geometry (PBE-GGA, the Alexandria database).

Calculated values
Energy relative to the elements = -0.563 eV/atom

Cell and atoms, written as POSCAR:
```
Na2Ca3Au3
1.0
-1.466 -4.693 3.496
8.585 -2.620 0.083
-3.033 5.636 6.293
Na Ca Au
4 6 6
direct
0.500 0.667 0.333
0.000 0.333 0.667
0.500 0.333 0.667
0.000 0.667 0.333
0.750 0.272 0.000
0.750 0.000 0.272
0.250 0.000 0.728
0.250 0.272 0.272
0.750 0.728 0.728
0.250 0.728 0.000
0.750 0.620 0.000
0.250 0.620 0.620
0.250 0.000 0.380
0.750 0.000 0.620
0.750 0.380 0.380
0.250 0.380 0.000
```



# 5
# LiMoIr

Crystalline LiMoIr at its relaxed geometry (PBE-GGA, the Alexandria database).

Calculated values
Distance to the lowest polymorph of the same formula = 297.2 meV per atom
Energy relative to the elements = 0.269 eV/atom

Cell and atoms, written as POSCAR:
```
LiMoIr
1.0
4.142 0.000 0.000
2.071 3.587 0.000
2.071 1.196 3.382
Ir Li Mo
1 1 1
direct
0.750 0.750 0.750
0.000 0.000 0.000
0.500 0.500 0.500
```



# 6
# Ce2V2N3

Crystalline Ce2V2N3 at its relaxed geometry (PBE-GGA, the Alexandria database).

Calculated values
Energy = -9.11 eV per atom

Cell and atoms, written as POSCAR:
```
Ce2V2N3
1.0
3.128 0.000 -0.890
-0.614 4.984 -2.159
0.049 -0.239 6.115
N V Ce
3 2 2
direct
0.253 0.738 0.506
0.747 0.262 0.494
0.000 0.000 0.000
0.163 0.328 0.325
0.837 0.672 0.675
0.599 0.793 0.197
0.401 0.207 0.803
```



# 7
# FeCo

Crystalline FeCo at its relaxed geometry (PBE-GGA, the Alexandria database).

Calculated values
Energy relative to the elements = 0.038 eV/atom

Cell and atoms, written as POSCAR:
```
FeCo
1.0
2.482 0.000 0.000
0.000 2.482 0.000
0.000 0.000 7.385
Co Fe
2 2
direct
0.750 0.750 0.886
0.250 0.250 0.114
0.750 0.750 0.367
0.250 0.250 0.633
```



# 8
# ErPaAl

Crystalline ErPaAl at its relaxed geometry (PBE-GGA, the Alexandria database).

Calculated values
Distance to the lowest polymorph of the same formula = 602.7 meV per atom
Energy relative to the elements = 0.535 eV/atom

Cell and atoms, written as POSCAR:
```
ErPaAl
1.0
5.267 0.000 0.000
2.633 2.966 0.000
2.633 0.000 10.639
Al Pa Er
2 2 2
direct
0.214 0.572 0.000
0.786 0.428 0.000
0.250 0.500 0.500
0.750 0.500 0.500
0.386 0.000 0.228
0.614 0.000 0.772
```



# 9
# Na2InSi2Pd5

Crystalline Na2InSi2Pd5 at its relaxed geometry (PBE-GGA, the Alexandria database).

Calculated values
Energy = -4.72 eV per atom

Cell and atoms, written as POSCAR:
```
Na2InSi2Pd5
1.0
-0.145 1.738 -2.593
1.548 -8.658 -5.889
-10.459 -1.557 -0.460
Pd Si In Na
10 4 2 4
direct
0.500 0.713 0.436
0.500 0.787 0.936
0.500 0.936 0.213
0.500 0.564 0.713
0.500 0.064 0.787
0.500 0.213 0.064
0.500 0.500 0.000
0.500 0.436 0.287
0.500 0.287 0.564
0.500 0.000 0.500
0.000 0.374 0.126
0.000 0.626 0.874
0.000 0.874 0.374
0.000 0.126 0.626
0.000 0.000 0.000
0.000 0.500 0.500
0.000 0.325 0.825
0.000 0.175 0.325
0.000 0.825 0.675
0.000 0.675 0.175
```



# 10
# YIn2Sn2

Crystalline YIn2Sn2 at its relaxed geometry (PBE-GGA, the Alexandria database).

Calculated values
Distance to the lowest polymorph of the same formula = 53.3 meV per atom
Energy relative to the elements = -0.257 eV/atom

Cell and atoms, written as POSCAR:
```
YIn2Sn2
1.0
3.996 0.009 0.970
-0.231 3.990 0.969
0.021 0.022 8.434
In Sn Y
2 2 1
direct
0.002 0.802 0.397
0.398 0.198 0.603
0.801 0.601 0.796
0.599 0.399 0.204
0.200 0.000 0.000
```



# 11
# SnTe2Se2

Crystalline SnTe2Se2 at its relaxed geometry (PBE-GGA, the Alexandria database).

Calculated values
Distance to the lowest polymorph of the same formula = 0.0 meV per atom

Cell and atoms, written as POSCAR:
```
SnTe2Se2
1.0
8.082 0.000 0.000
0.000 8.082 0.000
0.000 0.000 4.167
Se Sn Te
4 2 4
direct
0.165 0.335 0.000
0.335 0.835 0.000
0.665 0.165 0.000
0.835 0.665 0.000
0.500 0.500 0.000
0.000 0.000 0.000
0.660 0.840 0.500
0.160 0.660 0.500
0.840 0.340 0.500
0.340 0.160 0.500
```



# 12
# Hf2MoPt

Crystalline Hf2MoPt at its relaxed geometry (PBE-GGA, the Alexandria database).

Calculated values
Energy relative to the elements = 0.281 eV/atom

Cell and atoms, written as POSCAR:
```
Hf2MoPt
1.0
-0.201 -4.198 -0.155
3.247 -0.253 2.661
-4.276 -2.209 8.330
Mo Hf Pt
2 4 2
direct
0.250 0.750 0.500
0.500 0.500 0.000
0.375 0.377 0.750
0.875 0.873 0.750
0.127 0.625 0.250
0.623 0.125 0.250
0.000 0.000 0.000
0.750 0.250 0.500
```



> Number 6 is which compound?

Ce2V2N3



> Which formula does entry 11 have?

SnTe2Se2